No. 1
A relaxed structure of Sm2PuTl. Source: Alexandria via LeMat-Bulk, functional PBE.

The calculation puts the raw total energy at -26.5 eV per cell.

The space group is P4/mmm (No. 123) and the conventional cell measures 5.0027, 5.0027 and 4.6340 Å, with angles of 90.00, 90.00 and 90.00 degrees. The inequivalent atoms are Sm at (0.0000, 0.5000, 0.0000), Pu at (0.0000, 0.0000, 0.5000) and Tl at (0.5000, 0.5000, 0.5000).



No. 2
A relaxed structure of Hf2V2GaOs5. Source: Alexandria via LeMat-Bulk, functional PBE.

The calculation puts the raw total energy at -196.8 eV per cell.

The space group is P4/mbm (No. 127) and the conventional cell measures 9.9347, 9.9347 and 3.2225 Å, with angles of 90.00, 90.00 and 90.00 degrees. The inequivalent atoms are Hf at (0.1734, 0.3266, 0.0000), V at (0.1320, 0.6320, 0.0000), Ga at (0.0000, 0.0000, 0.0000), Os at (0.0000, 0.5000, 0.5000) and Os at (0.0569, 0.7999, 0.5000).



What did the first record say?
A relaxed structure of Sm2PuTl. Source: Alexandria via LeMat-Bulk, functional PBE.

The calculation puts the raw total energy at -26.5 eV per cell.

The space group is P4/mmm (No. 123) and the conventional cell measures 5.0027, 5.0027 and 4.6340 Å, with angles of 90.00, 90.00 and 90.00 degrees. The inequivalent atoms are Sm at (0.0000, 0.5000, 0.0000), Pu at (0.0000, 0.0000, 0.5000) and Tl at (0.5000, 0.5000, 0.5000).



Q: Among the records above, which one has the highest raw total energy?
A: Sm2PuTl



Q: Look up the raw total energy of the first one.
A: -26.5 eV per cell



Q: What is the raw total energy in the first record?
A: -26.5 eV per cell